1.
Mn2ZnCd | GGA-PBE | optimized geometry

a b c (Å): 9.3054 2.8413 4.8905
angles (deg): 90.00 102.23 90.00
With the nearest neighbours (Å) after each atom.
Space group Cm (No. 8)
One atom of each set of equivalent atoms:
Mn 0.0000 0.0000 0.0000  4 Zn 2.68-2.99, 5 Mn 2.69-2.87, 3 Cd 2.82-2.87
Mn 0.2406 0.5000 0.2298  5 Mn 2.69-2.87, 3 Zn 2.70-2.85, 4 Cd 2.82-2.84
Zn 0.4828 0.0000 0.4560  7 Mn 2.68-2.99, 2 Zn 2.84, 3 Cd 2.86-2.87
Cd 0.2404 0.0000 0.7320  7 Mn 2.82-2.87, 2 Cd 2.84, 3 Zn 2.86-2.87


2.
MnZnCd2 | GGA-PBE | optimized geometry

a b c (Å): 4.2062 4.2062 8.1563
angles (deg): 90.00 90.00 90.00
With the nearest neighbours (Å) after each atom.
Space group I-4m2 (No. 119)
One atom of each set of equivalent atoms:
Mn 0.0000 0.0000 0.0000  8 Cd 2.93-2.97, 4 Zn 2.93
Zn 0.0000 0.5000 0.7500  8 Cd 2.93-2.97, 4 Mn 2.93
Cd 0.0000 0.0000 0.5000  4 Cd 2.93, 4 Zn 2.93, 4 Mn 2.97
Cd 0.0000 0.5000 0.2500  4 Cd 2.93, 4 Mn 2.93, 4 Zn 2.97


3.
MnZnCd3 | GGA-PBE | optimized geometry

a b c (Å): 5.0558 5.0558 5.0558
angles (deg): 90.00 90.00 90.00
With the nearest neighbours (Å) after each atom.
Space group Pm-3m (No. 221)
One atom of each set of equivalent atoms:
Mn 0.0000 0.0000 0.0000  6 Cd 2.53
Zn 0.5000 0.5000 0.5000  12 Cd 3.57
Cd 0.0000 0.0000 0.5000  2 Mn 2.53


4.
Mn2ZnCd | GGA-PBE | optimized geometry

a b c (Å): 6.3389 6.3389 6.3389
angles (deg): 90.00 90.00 90.00
With the nearest neighbours (Å) after each atom.
Space group Fm-3m (No. 225)
One atom of each set of equivalent atoms:
Mn 0.2500 0.2500 0.2500  4 Cd 2.74, 4 Zn 2.74
Zn 0.0000 0.0000 0.0000  8 Mn 2.74
Cd 0.0000 0.0000 0.5000  8 Mn 2.74


5.
MnZnCd2 | GGA-PBE | optimized geometry

a b c (Å): 4.2152 4.2152 4.0368
angles (deg): 90.00 90.00 90.00
With the nearest neighbours (Å) after each atom.
Space group P4/mmm (No. 123)
One atom of each set of equivalent atoms:
Mn 0.0000 0.0000 0.0000  8 Cd 2.92, 4 Zn 2.98
Zn 0.5000 0.5000 0.0000  8 Cd 2.92, 4 Mn 2.98
Cd 0.0000 0.5000 0.5000  4 Mn 2.92, 4 Zn 2.92, 4 Cd 2.98


6.
MnZn3Cd | GGA-PBE | optimized geometry

a b c (Å): 4.7839 4.7839 4.7839
angles (deg): 90.00 90.00 90.00
With the nearest neighbours (Å) after each atom.
Space group Pm-3m (No. 221)
One atom of each set of equivalent atoms:
Mn 0.0000 0.0000 0.0000  6 Zn 2.39
Zn 0.0000 0.0000 0.5000  2 Mn 2.39
Cd 0.5000 0.5000 0.5000  12 Zn 3.38


7.
MnZnCd3 | GGA-PBE | optimized geometry

a b c (Å): 5.0152 5.0152 5.0152
angles (deg): 90.00 90.00 90.00
With the nearest neighbours (Å) after each atom.
Space group Pm-3m (No. 221)
One atom of each set of equivalent atoms:
Mn 0.0000 0.0000 0.0000  12 Cd 3.55
Zn 0.5000 0.5000 0.5000  6 Cd 2.51
Cd 0.0000 0.5000 0.5000  2 Zn 2.51


8.
ZrMnZn2Cd | GGA-PBE | optimized geometry

a b c (Å): 4.5856 4.5856 4.8506
angles (deg): 90.00 90.00 90.00
With the nearest neighbours (Å) after each atom.
Space group P4/mmm (No. 123)
One atom of each set of equivalent atoms:
Zr 0.0000 0.0000 0.0000  4 Cd 3.24, 8 Zn 3.34
Mn 0.5000 0.5000 0.5000  4 Zn 2.29, 2 Cd 2.43
Zn 0.0000 0.5000 0.5000  2 Mn 2.29
Cd 0.5000 0.5000 0.0000  2 Mn 2.43


9.
ZrMnCd2 | GGA-PBE | optimized geometry

a b c (Å): 4.2697 4.2697 8.5893
angles (deg): 90.00 90.00 90.00
With the nearest neighbours (Å) after each atom.
Space group I4/mmm (No. 139)
One atom of each set of equivalent atoms:
Zr 0.0000 0.0000 0.0000  4 Mn 3.02, 8 Cd 3.03
Mn 0.0000 0.0000 0.5000  4 Zr 3.02, 8 Cd 3.03
Cd 0.0000 0.5000 0.2500  4 Cd 3.02, 4 Mn 3.03, 4 Zr 3.03


10.
ZrMnCd2 | GGA-PBE | optimized geometry

a b c (Å): 10.2313 3.1002 5.2765
angles (deg): 90.00 107.70 90.00
With the nearest neighbours (Å) after each atom.
Space group Cm (No. 8)
One atom of each set of equivalent atoms:
Zr 0.0000 0.0000 0.0000  3 Mn 2.80-3.00, 4 Cd 3.06-3.10, 2 Zr 3.10
Mn 0.2612 0.0000 0.8517  3 Zr 2.80-3.00, 4 Cd 2.88-2.96, 2 Mn 3.10
Cd 0.0351 0.5000 0.5257  2 Mn 2.88, 5 Cd 2.92-3.10, 4 Zr 3.06-3.10
Cd 0.2760 0.5000 0.3381  5 Cd 2.92-3.10, 4 Mn 2.96-3.17, 2 Zr 3.24


11.
Zr2MnCd | GGA-PBE | optimized geometry

a b c (Å): 11.3242 3.1681 4.9916
angles (deg): 90.00 116.09 90.00
With the nearest neighbours (Å) after each atom.
Space group Cm (No. 8)
One atom of each set of equivalent atoms:
Zr 0.0000 0.0000 0.0000  2 Mn 2.73, 4 Cd 3.02
Zr 0.2153 0.0000 0.7145  4 Mn 2.95-2.96, 4 Zr 3.17-3.30, 2 Cd 3.21
Mn 0.2185 0.5000 0.2169  6 Zr 2.73-2.96, 2 Cd 2.76
Cd 0.4407 0.0000 0.4410  2 Mn 2.76, 4 Zr 3.02


12.
ZrMnCd2 | GGA-PBE | optimized geometry

a b c (Å): 6.6715 6.6715 6.6715
angles (deg): 90.00 90.00 90.00
With the nearest neighbours (Å) after each atom.
Space group Fm-3m (No. 225)
One atom of each set of equivalent atoms:
Zr 0.0000 0.0000 0.0000  8 Cd 2.89
Mn 0.0000 0.0000 0.5000  8 Cd 2.89
Cd 0.2500 0.2500 0.2500  4 Zr 2.89, 4 Mn 2.89


13.
Zr2MnCd | GGA-PBE | optimized geometry

a b c (Å): 6.8248 6.8248 6.8248
angles (deg): 90.00 90.00 90.00
With the nearest neighbours (Å) after each atom.
Space group F-43m (No. 216)
One atom of each set of equivalent atoms:
Zr 0.0000 0.0000 0.0000  4 Cd 2.96, 4 Zr 2.96
Zr 0.2500 0.2500 0.2500  4 Zr 2.96, 4 Mn 2.96
Mn 0.0000 0.0000 0.5000  4 Zr 2.96, 4 Cd 2.96
Cd 0.2500 0.2500 0.7500  4 Zr 2.96, 4 Mn 2.96


14.
Zr2MnCd | GGA-PBE | optimized geometry

a b c (Å): 3.1545 4.8928 5.2270
angles (deg): 90.00 93.26 90.00
With the nearest neighbours (Å) after each atom.
Space group Pm (No. 6)
One atom of each set of equivalent atoms:
Zr 0.0000 0.0000 0.0000  4 Mn 2.91-3.25, 4 Cd 2.95-3.06, 4 Zr 3.15-3.17
Zr 0.1006 0.5000 0.6213  3 Cd 2.93-3.00, 4 Mn 2.93-3.04, 4 Zr 3.15-3.17
Mn 0.5583 0.0000 0.4960  8 Zr 2.91-3.25, 2 Cd 3.06, 2 Mn 3.15
Cd 0.5471 0.5000 0.1442  7 Zr 2.93-3.06, 2 Mn 3.06, 2 Cd 3.15


15.
ZrMnCd2 | GGA-PBE | optimized geometry

a b c (Å): 5.8930 9.2638 2.9397
angles (deg): 90.00 90.15 90.00
With the nearest neighbours (Å) after each atom.
Space group C2/m (No. 12)
One atom of each set of equivalent atoms:
Zr 0.0000 0.0000 0.0000  2 Zr 2.94, 2 Mn 2.95, 8 Cd 3.11-3.12
Mn 0.0000 0.5000 0.0000  2 Mn 2.94, 2 Zr 2.95, 8 Cd 3.11-3.12
Cd 0.2500 0.2500 0.5000  4 Cd 2.94-2.95, 4 Zr 3.11-3.12, 4 Mn 3.11-3.12


16.
Zr2MnCd | GGA-PBE | optimized geometry

a b c (Å): 4.1093 4.1093 19.6853
angles (deg): 90.00 90.00 90.00
With the nearest neighbours (Å) after each atom.
Space group I-42d (No. 122)
One atom of each set of equivalent atoms:
Zr 0.2351 0.2500 0.1250  4 Zr 2.82-2.99, 2 Mn 2.84, 2 Cd 2.88
Mn 0.0000 0.0000 0.0000  4 Zr 2.84, 4 Cd 2.91
Cd 0.0000 0.0000 0.5000  4 Zr 2.88, 4 Mn 2.91


17.
Zr2MnCd | GGA-PBE | optimized geometry

a b c (Å): 3.1225 3.1225 29.5751
angles (deg): 90.00 90.00 120.00
With the nearest neighbours (Å) after each atom.
Space group R3m (No. 160, hexagonal axes)
One atom of each set of equivalent atoms:
Zr 0.0000 0.0000 0.0000  3 Mn 2.87, 9 Zr 3.12-3.20
Zr 0.0000 0.0000 0.2438  9 Zr 3.12-3.20, 3 Cd 3.22
Mn 0.0000 0.0000 0.7421  3 Zr 2.87, 3 Cd 2.93, 6 Mn 3.12
Cd 0.0000 0.0000 0.4871  3 Mn 2.93, 6 Cd 3.12, 3 Zr 3.22


18.
ZrMnCd2 | GGA-PBE | optimized geometry

a b c (Å): 3.1303 3.1303 8.1338
angles (deg): 90.00 90.00 90.00
With the nearest neighbours (Å) after each atom.
Space group P4/mmm (No. 123)
One atom of each set of equivalent atoms:
Zr 0.0000 0.0000 0.0000  8 Cd 3.12, 4 Zr 3.13
Mn 0.0000 0.0000 0.5000  8 Cd 2.89, 4 Mn 3.13
Cd 0.5000 0.5000 0.2710  4 Mn 2.89, 4 Zr 3.12, 4 Cd 3.13


19.
ZrMn3Cd | GGA-PBE | optimized geometry

a b c (Å): 4.8591 4.8591 4.8591
angles (deg): 90.00 90.00 90.00
With the nearest neighbours (Å) after each atom.
Space group Pm-3m (No. 221)
One atom of each set of equivalent atoms:
Zr 0.0000 0.0000 0.0000  12 Mn 3.44
Mn 0.0000 0.5000 0.5000  2 Cd 2.43
Cd 0.5000 0.5000 0.5000  6 Mn 2.43


20.
ZrMnCd2 | GGA-PBE | optimized geometry

a b c (Å): 4.2020 4.2020 4.5150
angles (deg): 90.00 90.00 90.00
With the nearest neighbours (Å) after each atom.
Space group P4/mmm (No. 123)
One atom of each set of equivalent atoms:
Zr 0.0000 0.0000 0.0000  4 Mn 2.97, 8 Cd 3.08
Mn 0.5000 0.5000 0.0000  4 Zr 2.97, 8 Cd 3.08
Cd 0.0000 0.5000 0.5000  4 Cd 2.97, 4 Mn 3.08, 4 Zr 3.08


21.
ZrMnCd2 | GGA-PBE | optimized geometry

a b c (Å): 3.8870 3.8870 21.1395
angles (deg): 90.00 90.00 90.00
With the nearest neighbours (Å) after each atom.
Space group I-42d (No. 122)
One atom of each set of equivalent atoms:
Zr 0.0000 0.0000 0.0000  4 Mn 2.75, 4 Cd 2.99
Mn 0.0000 0.0000 0.5000  4 Zr 2.75, 4 Cd 2.96
Cd 0.2383 0.2500 0.6250  4 Cd 2.69-2.81, 2 Mn 2.96, 2 Zr 2.99


22.
Zr2MnCd | GGA-PBE | optimized geometry

a b c (Å): 3.2482 3.2482 26.4749
angles (deg): 90.00 90.00 120.00
With the nearest neighbours (Å) after each atom.
Space group R-3m (No. 166, hexagonal axes)
One atom of each set of equivalent atoms:
Zr 0.0000 0.0000 0.2362  3 Mn 2.63
Mn 0.0000 0.0000 0.5000  6 Zr 2.63
Cd 0.0000 0.0000 0.0000  6 Zr 3.18, 6 Cd 3.25


23.
ZrMnCd2 | GGA-PBE | optimized geometry

a b c (Å): 3.1653 3.1653 7.9637
angles (deg): 90.00 90.00 90.00
With the nearest neighbours (Å) after each atom.
Space group P4mm (No. 99)
One atom of each set of equivalent atoms:
Zr 0.0000 0.0000 0.0000  4 Mn 2.88, 4 Zr 3.17, 4 Cd 3.17
Mn 0.5000 0.5000 0.2273  4 Cd 2.87, 4 Zr 2.88, 4 Mn 3.17
Cd 0.0000 0.0000 0.4519  4 Mn 2.87, 8 Cd 3.08-3.17
Cd 0.5000 0.5000 0.7172  8 Cd 3.08-3.17, 4 Zr 3.17


24.
Zr2MnCd | GGA-PBE | optimized geometry

a b c (Å): 3.1755 3.1755 8.1219
angles (deg): 90.00 90.00 90.00
With the nearest neighbours (Å) after each atom.
Space group P4mm (No. 99)
One atom of each set of equivalent atoms:
Zr 0.0000 0.0000 0.0000  4 Mn 2.89, 8 Zr 3.17-3.18
Zr 0.5000 0.5000 0.2760  8 Zr 3.17-3.18, 4 Cd 3.19
Mn 0.5000 0.5000 0.7770  4 Cd 2.88, 4 Zr 2.89, 4 Mn 3.18
Cd 0.0000 0.0000 0.5557  4 Mn 2.88, 4 Cd 3.18, 4 Zr 3.19


25.
Zr2MnCd | GGA-PBE | optimized geometry

a b c (Å): 10.4690 3.0085 5.2967
angles (deg): 90.00 97.78 90.00
With the nearest neighbours (Å) after each atom.
Space group C2/m (No. 12)
One atom of each set of equivalent atoms:
Zr 0.2495 0.0000 0.2576  6 Zr 2.97-3.12, 3 Mn 3.06-3.14, 3 Cd 3.12-3.16
Mn 0.0000 0.0000 0.5000  2 Mn 3.01, 4 Cd 3.05, 6 Zr 3.06-3.14
Cd 0.0000 0.5000 0.0000  2 Cd 3.01, 4 Mn 3.05, 6 Zr 3.12-3.16


26.
ZrMnCd3 | GGA-PBE | optimized geometry

a b c (Å): 4.9373 4.9373 4.9373
angles (deg): 90.00 90.00 90.00
With the nearest neighbours (Å) after each atom.
Space group Pm-3m (No. 221)
One atom of each set of equivalent atoms:
Zr 0.0000 0.0000 0.0000  12 Cd 3.49
Mn 0.5000 0.5000 0.5000  6 Cd 2.47
Cd 0.0000 0.5000 0.5000  2 Mn 2.47


27.
ZrMn3Cd | GGA-PBE | optimized geometry

a b c (Å): 4.8070 4.8070 4.8070
angles (deg): 90.00 90.00 90.00
With the nearest neighbours (Å) after each atom.
Space group Pm-3m (No. 221)
One atom of each set of equivalent atoms:
Zr 0.0000 0.0000 0.0000  6 Mn 2.40
Mn 0.0000 0.0000 0.5000  2 Zr 2.40
Cd 0.5000 0.5000 0.5000  12 Mn 3.40


28.
Zr2MnCd | GGA-PBE | optimized geometry

a b c (Å): 4.1955 4.1955 9.1230
angles (deg): 90.00 90.00 90.00
With the nearest neighbours (Å) after each atom.
Space group I-4m2 (No. 119)
One atom of each set of equivalent atoms:
Zr 0.0000 0.0000 0.0000  4 Mn 2.97, 4 Zr 3.10, 4 Cd 3.10
Zr 0.0000 0.5000 0.2500  4 Cd 2.97, 4 Mn 3.10, 4 Zr 3.10
Mn 0.0000 0.0000 0.5000  8 Zr 2.97-3.10, 4 Cd 3.10
Cd 0.0000 0.5000 0.7500  8 Zr 2.97-3.10, 4 Mn 3.10


29.
Zr5Mn2Cd2 | GGA-PBE | optimized geometry

a b c (Å): 15.2495 6.9086 7.0838
angles (deg): 90.00 90.00 90.00
With the nearest neighbours (Å) after each atom.
Space group Cmce (No. 64)
One atom of each set of equivalent atoms:
Zr 0.0000 0.0000 0.0000  4 Mn 2.84-2.87, 8 Zr 3.06-3.10
Zr 0.1157 0.2000 0.3018  3 Mn 2.61-2.87
Mn 0.0000 0.1046 0.6081  1 Mn 2.11
Cd 0.2319 0.0000 0.0000  6 Zr 3.05-3.10


| no. | M_tot (μB/f.u.) | Fermi-level density of states (states/eV/cell) | formation energy (eV/atom) |
| --- | --- | --- | --- |
| 1 | 6.6 | 5.5 | 0.2596 |
| 2 | 3.6 | 3.8 | 0.1981 |
| 3 | 0.0 | 9.4 | 0.9317 |
| 4 | 6.9 | 47.6 | 0.2545 |
| 5 | 3.4 | 2.7 | 0.1656 |
| 6 | 3.1 | 5.2 | 0.5623 |
| 7 | 4.7 | 3.7 | 0.6265 |
| 8 | 2.6 | 5.9 | 0.5920 |
| 9 | 2.2 | 6.2 | 0.1133 |
| 10 | 2.7 | 4.5 | 0.1243 |
| 11 | 1.8 | 8.9 | 0.0942 |
| 12 | 0.0 | 28.0 | 0.4449 |
| 13 | 1.0 | 11.3 | 0.1491 |
| 14 | 1.8 | 3.3 | 0.0724 |
| 15 | 3.0 | 7.9 | 0.1823 |
| 16 | 0.2 | 27.9 | 0.7843 |
| 17 | 3.1 | 10.9 | 0.1616 |
| 18 | 4.2 | 3.6 | 0.0957 |
| 19 | 10.5 | 4.8 | 1.2556 |
| 20 | 2.8 | 3.8 | 0.1013 |
| 21 | 0.0 | 25.0 | 0.5802 |
| 22 | 0.5 | 7.2 | 0.1002 |
| 23 | 3.4 | 2.3 | 0.0333 |
| 24 | 3.5 | 2.9 | 0.0337 |
| 25 | 3.9 | 9.8 | 0.2036 |
| 26 | 3.2 | 6.1 | 0.7275 |
| 27 | 9.2 | 4.0 | 1.2695 |
| 28 | 2.4 | 7.4 | 0.0960 |
| 29 | 0.0 | 31.0 | -0.0101 |